The following is a DFT calculation (GGA-PBE) of crystalline CuSeIN2 at its relaxed geometry.

a = 3.8833 Å, b = 3.8833 Å, c = 6.3102 Å
α = 90.00°, β = 90.00°, γ = 90.00°
Fractional positions:
1 Cu 0.0000 0.0000 0.0000
2 Se 0.5000 0.5000 0.0000
3 I 0.5000 0.5000 0.5000
4 N 0.0000 0.5000 0.5000
5 N 0.5000 0.0000 0.5000

ΔE_f (raw) in eV per atom: 1.82
Crystal system: tetragonal
Energy above the lowest structure with this stoichiometry in meV/atom: 369
E in eV per atom: -3.338

=====

The following is a DFT calculation (GGA-PBE) of crystalline YAg2Au8 at its relaxed geometry.

a = 7.9373 Å, b = 7.9373 Å, c = 6.6791 Å
α = 104.72°, β = 104.72°, γ = 30.59°
Fractional positions:
1 Y 0.0000 0.0000 0.0000
2 Ag 0.2748 0.2748 0.3654
3 Ag 0.7252 0.7252 0.6346
4 Au 0.0943 0.0943 0.4578
5 Au 0.1838 0.1838 0.9149
6 Au 0.3607 0.3607 0.8123
7 Au 0.4539 0.4539 0.2784
8 Au 0.5461 0.5461 0.7216
9 Au 0.6393 0.6393 0.1877
10 Au 0.8162 0.8162 0.0851
11 Au 0.9057 0.9057 0.5422

Crystal system: monoclinic
Formation energy in eV/atom: -0.27
E in eV per atom: -3.755

=====

The following is a DFT calculation (GGA-PBE) of crystalline MnFeSiAs2 at its relaxed geometry.

a = 4.3708 Å, b = 4.3708 Å, c = 4.8516 Å
α = 90.00°, β = 90.00°, γ = 90.00°
Fractional positions:
1 Mn 0.0000 0.0000 0.0000
2 Fe 0.0000 0.0000 0.5000
3 Si 0.5000 0.5000 0.0000
4 As 0.0000 0.5000 0.5000
5 As 0.5000 0.0000 0.5000

ΔE_f (raw) in eV per atom: 0.61
Crystal system: tetragonal
E in eV per atom: -5.857

=====

The following is a DFT calculation (GGA-PBE) of crystalline Ti8Ni2Sb at its relaxed geometry.

a = 6.9291 Å, b = 6.9291 Å, c = 4.5079 Å
α = 98.83°, β = 98.83°, γ = 116.34°
Fractional positions:
1 Ti 0.0853 0.3207 0.5880
2 Ti 0.2421 0.7579 0.0000
3 Ti 0.3207 0.0853 0.5880
4 Ti 0.4033 0.4033 0.1907
5 Ti 0.5967 0.5967 0.8093
6 Ti 0.6793 0.9147 0.4120
7 Ti 0.7579 0.2421 0.0000
8 Ti 0.9147 0.6793 0.4120
9 Ni 0.3088 0.6912 0.5000
10 Ni 0.6912 0.3088 0.5000
11 Sb 0.0000 0.0000 0.0000

ΔE_f (raw) in eV per atom: -0.15
Crystal system: monoclinic
E in eV per atom: -7.319

=====

The following is a DFT calculation (GGA-PBE) of crystalline Dy4InAuO at its relaxed geometry.

a = 8.3615 Å, b = 8.3615 Å, c = 6.6440 Å
α = 90.00°, β = 90.00°, γ = 133.28°
Fractional positions:
1 Dy 0.0000 0.5000 0.0000
2 Dy 0.0000 0.5000 0.5000
3 Dy 0.0622 0.9378 0.7500
4 Dy 0.4181 0.5819 0.7500
5 Dy 0.5000 0.0000 0.0000
6 Dy 0.5000 0.0000 0.5000
7 Dy 0.5819 0.4181 0.2500
8 Dy 0.9378 0.0622 0.2500
9 In 0.3851 0.6149 0.2500
10 In 0.6149 0.3851 0.7500
11 Au 0.1219 0.8781 0.2500
12 Au 0.8781 0.1219 0.7500
13 O 0.2582 0.7418 0.7500
14 O 0.7418 0.2582 0.2500

ΔE_f (raw) in eV per atom: -1.19
Crystal system: orthorhombic
E in eV per atom: -5.386

=====

The following is a DFT calculation (GGA-PBE) of crystalline La2OsI at its relaxed geometry.

a = 7.0960 Å, b = 7.0960 Å, c = 7.0960 Å
α = 112.00°, β = 112.00°, γ = 104.53°
Fractional positions:
1 La 0.0539 0.6250 0.9289
2 La 0.3750 0.3039 0.4289
3 La 0.6961 0.1250 0.0711
4 La 0.8750 0.9461 0.5711
5 Os 0.0000 0.0000 0.0000
6 Os 0.7500 0.2500 0.5000
7 I 0.2500 0.7500 0.5000
8 I 0.5000 0.5000 0.0000

ΔE_f (raw) in eV per atom: -0.31
Crystal system: tetragonal
Energy above the lowest structure with this stoichiometry in meV/atom: 360
E in eV per atom: -5.965

=====

The following is a DFT calculation (GGA-PBE) of crystalline AcMg2GaAu2 at its relaxed geometry.

a = 6.8630 Å, b = 6.8630 Å, c = 6.8630 Å
α = 135.36°, β = 135.36°, γ = 64.97°
Fractional positions:
1 Ac 0.0000 0.0000 0.0000
2 Mg 0.2500 0.7500 0.5000
3 Mg 0.7500 0.2500 0.5000
4 Ga 0.5000 0.5000 0.0000
5 Au 0.2859 0.2859 0.0000
6 Au 0.7141 0.7141 0.0000

Crystal system: tetragonal
Formation energy in eV/atom: -0.40
E in eV per atom: -3.213

=====

The following is a DFT calculation (GGA-PBE) of crystalline Sr2DyTlSe4 at its relaxed geometry.

a = 7.4202 Å, b = 4.3756 Å, c = 7.8218 Å
α = 90.00°, β = 108.76°, γ = 90.00°
Fractional positions:
1 Sr 0.0000 0.0000 0.0000
2 Sr 0.0000 0.5000 0.5000
3 Dy 0.5000 0.0000 0.5000
4 Tl 0.5000 0.5000 0.0000
5 Se 0.2553 0.0000 0.7229
6 Se 0.2656 0.5000 0.2736
7 Se 0.7344 0.5000 0.7264
8 Se 0.7447 0.0000 0.2771

ΔE_f (raw) in eV per atom: -1.64
Crystal system: monoclinic
E in eV per atom: -4.673

=====

The following is a DFT calculation (GGA-PBE) of crystalline La5NdHo3 at its relaxed geometry.

a = 10.3332 Å, b = 10.3332 Å, c = 10.3332 Å
α = 129.73°, β = 129.73°, γ = 73.84°
Fractional positions:
1 La 0.0000 0.0000 0.0000
2 La 0.0565 0.5565 0.8929
3 La 0.1636 0.0565 0.5000
4 La 0.3364 0.8364 0.8929
5 La 0.4435 0.3364 0.5000
6 La 0.5000 0.5000 0.0000
7 La 0.5565 0.6636 0.5000
8 La 0.6636 0.1636 0.1071
9 La 0.8364 0.9435 0.5000
10 La 0.9435 0.4435 0.1071
11 Nd 0.2500 0.7500 0.5000
12 Nd 0.7500 0.2500 0.5000
13 Ho 0.1211 0.3789 0.5000
14 Ho 0.2500 0.2500 0.0000
15 Ho 0.3789 0.8789 0.2579
16 Ho 0.6211 0.1211 0.7421
17 Ho 0.7500 0.7500 0.0000
18 Ho 0.8789 0.6211 0.5000

Crystal system: tetragonal
Energy above the lowest structure with this stoichiometry in meV/atom: 28
Formation energy in eV/atom: 0.27
E in eV per atom: -4.522

=====

The following is a DFT calculation (GGA-PBE) of crystalline MnCu2P at its relaxed geometry.

a = 4.4591 Å, b = 4.4591 Å, c = 2.8230 Å
α = 90.00°, β = 90.00°, γ = 115.19°
Fractional positions:
1 Mn 0.0000 0.0000 0.0000
2 Cu 0.0000 0.5000 0.5000
3 Cu 0.5000 0.0000 0.5000
4 P 0.5000 0.5000 0.0000

Crystal system: orthorhombic
Formation energy in eV/atom: 0.13
E in eV per atom: -5.560

=====

The following is a DFT calculation (GGA-PBE) of crystalline Bi2WC at its relaxed geometry.

a = 6.7658 Å, b = 6.7658 Å, c = 6.7658 Å
α = 125.13°, β = 125.13°, γ = 81.32°
Fractional positions:
1 Bi 0.0684 0.6250 0.9434
2 Bi 0.3750 0.3184 0.4434
3 Bi 0.6816 0.1250 0.0566
4 Bi 0.8750 0.9316 0.5566
5 W 0.2500 0.7500 0.5000
6 W 0.5000 0.5000 0.0000
7 C 0.0000 0.0000 0.0000
8 C 0.7500 0.2500 0.5000

Crystal system: tetragonal
Formation energy in eV/atom: 1.83
E in eV per atom: -5.658

=====

The following is a DFT calculation (GGA-PBE) of crystalline Ge2TePd8 at its relaxed geometry.

a = 7.7162 Å, b = 7.7162 Å, c = 6.2979 Å
α = 109.66°, β = 109.66°, γ = 30.62°
Fractional positions:
1 Ge 0.1886 0.1886 0.1855
2 Ge 0.8114 0.8114 0.8145
3 Te 0.5000 0.5000 0.5000
4 Pd 0.0329 0.0329 0.2501
5 Pd 0.1950 0.1950 0.7980
6 Pd 0.3258 0.3258 0.5498
7 Pd 0.4051 0.4051 0.0329
8 Pd 0.5949 0.5949 0.9671
9 Pd 0.6742 0.6742 0.4502
10 Pd 0.8050 0.8050 0.2020
11 Pd 0.9671 0.9671 0.7499

ΔE_f (raw) in eV per atom: -0.40
Crystal system: monoclinic
E in eV per atom: -5.305